Record 1
Compound: Zr6AlCd
Source: the Alexandria database
Functional: PBE
Structure: relaxed

CIF file:
```
data_Zr6AlCd
_cell_length_a 4.4285
_cell_length_b 4.4285
_cell_length_c 8.8331
_cell_angle_alpha 90.00
_cell_angle_beta 90.00
_cell_angle_gamma 90.00
_symmetry_space_group_name_H-M 'P 4/m m m'
_symmetry_Int_Tables_number 123
_symmetry_space_group_name_Hall '-P 4 2'
loop_
_atom_site_label
_atom_site_type_symbol
_atom_site_fract_x
_atom_site_fract_y
_atom_site_fract_z
Zr1 Zr 0.0000 0.0000 0.0000
Zr2 Zr 0.0000 0.0000 0.5000
Zr3 Zr 0.0000 0.5000 0.2433
Al1 Al 0.5000 0.5000 0.0000
Cd1 Cd 0.5000 0.5000 0.5000
```

Calculated values
* total moment: 0.00 Bohr magnetons per cell
* energy relative to the elements: -194 meV/atom



Record 2
Compound: Zr3AlCd
Source: the Alexandria database
Functional: PBE
Structure: relaxed

CIF file:
```
data_Zr3AlCd
_cell_length_a 5.0340
_cell_length_b 5.0340
_cell_length_c 5.0340
_cell_angle_alpha 90.00
_cell_angle_beta 90.00
_cell_angle_gamma 90.00
_symmetry_space_group_name_H-M 'P m -3 m'
_symmetry_Int_Tables_number 221
_symmetry_space_group_name_Hall '-P 4 2 3'
loop_
_atom_site_label
_atom_site_type_symbol
_atom_site_fract_x
_atom_site_fract_y
_atom_site_fract_z
Zr1 Zr 0.0000 0.0000 0.5000
Al1 Al 0.0000 0.0000 0.0000
Cd1 Cd 0.5000 0.5000 0.5000
```

Calculated values
* total moment: 0.00 Bohr magnetons per cell
* energy relative to the elements: 499 meV/atom



Record 3
Compound: Zr2AlCd
Source: the Alexandria database
Functional: PBE
Structure: relaxed

CIF file:
```
data_Zr2AlCd
_cell_length_a 6.9965
_cell_length_b 6.9965
_cell_length_c 6.9965
_cell_angle_alpha 90.00
_cell_angle_beta 90.00
_cell_angle_gamma 90.00
_symmetry_space_group_name_H-M 'F -4 3 m'
_symmetry_Int_Tables_number 216
_symmetry_space_group_name_Hall 'F -4 2 3'
loop_
_atom_site_label
_atom_site_type_symbol
_atom_site_fract_x
_atom_site_fract_y
_atom_site_fract_z
Zr1 Zr 0.0000 0.0000 0.0000
Zr2 Zr 0.2500 0.2500 0.2500
Al1 Al 0.2500 0.2500 0.7500
Cd1 Cd 0.0000 0.0000 0.5000
```

Calculated values
* total moment: 10.32 Bohr magnetons per cell
* energy relative to the elements: 171 meV/atom



Record 4
Compound: Zr2AlCd
Source: the Alexandria database
Functional: PBE
Structure: relaxed

CIF file:
```
data_Zr2AlCd
_cell_length_a 7.8664
_cell_length_b 7.8664
_cell_length_c 5.6977
_cell_angle_alpha 90.00
_cell_angle_beta 90.00
_cell_angle_gamma 90.00
_symmetry_space_group_name_H-M 'I -4 2 d'
_symmetry_Int_Tables_number 122
_symmetry_space_group_name_Hall 'I -4 2bw'
loop_
_atom_site_label
_atom_site_type_symbol
_atom_site_fract_x
_atom_site_fract_y
_atom_site_fract_z
Zr1 Zr 0.2434 0.2500 0.1250
Al1 Al 0.0000 0.0000 0.0000
Cd1 Cd 0.0000 0.0000 0.5000
```

Calculated values
* total moment: 0.00 Bohr magnetons per cell
* energy relative to the elements: 142 meV/atom



Record 5
Compound: ZrAl2Cd2
Source: the Alexandria database
Functional: PBE
Structure: relaxed

CIF file:
```
data_ZrAl2Cd2
_cell_length_a 7.8398
_cell_length_b 7.8398
_cell_length_c 3.2369
_cell_angle_alpha 90.00
_cell_angle_beta 90.00
_cell_angle_gamma 90.00
_symmetry_space_group_name_H-M 'P 4/m b m'
_symmetry_Int_Tables_number 127
_symmetry_space_group_name_Hall '-P 4 2ab'
loop_
_atom_site_label
_atom_site_type_symbol
_atom_site_fract_x
_atom_site_fract_y
_atom_site_fract_z
Zr1 Zr 0.0000 0.0000 0.0000
Al1 Al 0.1288 0.3712 0.0000
Cd1 Cd 0.1694 0.6694 0.5000
```

Calculated values
* total moment: 0.00 Bohr magnetons per cell
* energy relative to the elements: 25 meV/atom



Record 6
Compound: ZrAl2Cd
Source: the Alexandria database
Functional: PBE
Structure: relaxed

CIF file:
```
data_ZrAl2Cd
_cell_length_a 3.3030
_cell_length_b 3.3030
_cell_length_c 7.0534
_cell_angle_alpha 90.00
_cell_angle_beta 90.00
_cell_angle_gamma 90.00
_symmetry_space_group_name_H-M 'P 4 m m'
_symmetry_Int_Tables_number 99
_symmetry_space_group_name_Hall 'P 4 -2'
loop_
_atom_site_label
_atom_site_type_symbol
_atom_site_fract_x
_atom_site_fract_y
_atom_site_fract_z
Zr1 Zr 0.0000 0.0000 0.0000
Al1 Al 0.0000 0.0000 0.4574
Al2 Al 0.5000 0.5000 0.2457
Cd1 Cd 0.5000 0.5000 0.6982
```

Calculated values
* total moment: 0.00 Bohr magnetons per cell
* energy relative to the elements: -126 meV/atom